P | VASP calculation (PBE-GGA) on a relaxed structure of CaGePt4.

Calculated values
Crystal system ... orthorhombic

Unit cell a=7.5513 b=4.0606 c=6.9563 alpha=90.00 beta=90.00 gamma=90.00
Element x y z (fractional)
Ca  0.2500  0.0000  0.1396
Ca  0.7500  0.0000  0.8604
Ge  0.2500  0.0000  0.7292
Ge  0.7500  0.0000  0.2708
Pt  0.0000  0.0000  0.5000
Pt  0.0530  0.5000  0.8051
Pt  0.2500  0.5000  0.4442
Pt  0.4470  0.5000  0.8051
Pt  0.5000  0.0000  0.5000
Pt  0.5530  0.5000  0.1949
Pt  0.7500  0.5000  0.5558
Pt  0.9470  0.5000  0.1949


Q | VASP calculation (PBE-GGA) on a relaxed structure of CaGePt4.

Calculated values
Crystal system ... cubic

Unit cell a=5.3843 b=5.3843 c=5.3843 alpha=60.00 beta=60.00 gamma=60.00
Element x y z (fractional)
Ca  0.0000  0.0000  0.0000
Ge  0.2500  0.2500  0.2500
Pt  0.1262  0.6246  0.6246
Pt  0.6246  0.1262  0.6246
Pt  0.6246  0.6246  0.1262
Pt  0.6246  0.6246  0.6246


Looking at the structures above, P is most stable, and the difference to the next one is 0.088 eV/atom.